Here is an optimized crystal structure of Rb2TlS2 from the Alexandria database. Energies are from PBE.

abc: 8.2187 8.2187 4.8074
angles: 90.00 90.00 90.00
Positions (direct):
S 0.3197 0.8197 0.0000
Rb 0.8621 0.3621 0.5000
Rb 0.3621 0.1379 0.5000
S 0.8197 0.6803 0.0000
Rb 0.1379 0.6379 0.5000
Tl 0.0000 0.0000 0.0000
Rb 0.6379 0.8621 0.5000
Tl 0.5000 0.5000 0.0000
S 0.1803 0.3197 0.0000
S 0.6803 0.1803 0.0000

DOS(E_F) in states/eV/atom: 0.57
ΔE to the lowest computed polymorph in meV/atom: 184
Raw formation energy in eV/f.u.: -2.910
SG: P4/mbm, No. 127
DFT total energy in eV per cell: -30.93